[1]
A geometry-optimized Ac4RuRhBr2 structure, computed with PBE.

Total moment ... 0.00 μB/cell
VASP energy ... -44.465 eV per cell
Density of states at the Fermi level ... 0.4359 states/eV/atom

a b c (Å): 4.3180 7.4648 8.6759
angles (deg): 106.76 90.00 90.00
Last column: nearest neighbours and their distance in Å.
Fractional coordinates of all 8 atoms:
1 Br 0.0000 0.5000 0.5000  6 Ac 3.53-3.55
2 Br 0.5000 0.0000 0.5000  6 Ac 3.56-3.59
3 Ac 0.5000 0.7639 0.8061  1 Ru 2.94, 2 Rh 2.98
4 Ac 0.5000 0.2361 0.1939  1 Ru 2.94, 2 Rh 2.98
5 Ac 0.0000 0.7280 0.1951  2 Ru 2.96, 1 Rh 2.99
6 Ac 0.0000 0.2720 0.8049  2 Ru 2.96, 1 Rh 2.99
7 Ru 0.5000 0.5000 0.0000  6 Ac 2.94-2.96
8 Rh 0.0000 0.0000 0.0000  6 Ac 2.98-2.99



[2]
A geometry-optimized Cd2In3Pb structure, computed with PBE.

Total moment ... 0.00 μB/cell
E_form ... 0.04 eV per atom
Energy above the most stable polymorph in this dataset ... 0.002 eV per atom
Density of states at the Fermi level ... 0.3253 states/eV/atom

a b c (Å): 3.2404 8.2062 12.3373
angles (deg): 79.97 90.00 90.00
Last column: nearest neighbours and their distance in Å.
Fractional coordinates of all 12 atoms:
1 In 0.2500 0.3385 0.4614  5 In 3.14-3.38, 3 Cd 3.30, 3 Pb 3.45-3.47
2 In 0.7500 0.6615 0.5386  5 In 3.14-3.38, 3 Cd 3.30, 3 Pb 3.45-3.47
3 In 0.7500 0.0404 0.1114  6 In 3.24-3.35, 4 Cd 3.32-3.42, 2 Pb 3.52
4 In 0.2500 0.9596 0.8886  6 In 3.24-3.35, 4 Cd 3.32-3.42, 2 Pb 3.52
5 In 0.7500 0.6591 0.7933  5 In 3.14-3.33, 5 Cd 3.16-3.44, 1 Pb 3.38
6 In 0.2500 0.3409 0.2067  5 In 3.14-3.33, 5 Cd 3.16-3.44, 1 Pb 3.38
7 Pb 0.7500 0.2846 0.7140  2 Pb 3.24, 6 In 3.38-3.52, 4 Cd 3.43-3.45
8 Pb 0.2500 0.7154 0.2860  2 Pb 3.24, 6 In 3.38-3.52, 4 Cd 3.43-3.45
9 Cd 0.2500 0.3504 0.9492  6 In 3.16-3.42, 4 Cd 3.24-3.36, 2 Pb 3.45
10 Cd 0.7500 0.6496 0.0508  6 In 3.16-3.42, 4 Cd 3.24-3.36, 2 Pb 3.45
11 Cd 0.2500 0.9697 0.6185  4 Cd 3.24-3.30, 6 In 3.30-3.44, 2 Pb 3.43
12 Cd 0.7500 0.0303 0.3815  4 Cd 3.24-3.30, 6 In 3.30-3.44, 2 Pb 3.43



[3]
A geometry-optimized NbFe2Ir2 structure, computed with PBE.

Total moment ... 0.00 μB/cell
E_form ... -0.01 eV per atom
Energy above the most stable polymorph in this dataset ... 0.122 eV per atom
Density of states at the Fermi level ... 1.4850 states/eV/atom

a b c (Å): 7.1973 7.1973 2.6905
angles (deg): 90.00 90.00 90.00
Last column: nearest neighbours and their distance in Å.
Fractional coordinates of all 10 atoms:
1 Fe 0.1681 0.6681 0.5000  6 Ir 2.46-2.54, 2 Fe 2.69
2 Fe 0.3319 0.1681 0.5000  6 Ir 2.46-2.54, 2 Fe 2.69
3 Fe 0.6681 0.8319 0.5000  6 Ir 2.46-2.54, 2 Fe 2.69
4 Fe 0.8319 0.3319 0.5000  6 Ir 2.46-2.54, 2 Fe 2.69
5 Ir 0.6295 0.1295 0.0000  6 Fe 2.46-2.54, 3 Ir 2.64-2.69
6 Ir 0.8705 0.6295 0.0000  6 Fe 2.46-2.54, 3 Ir 2.64-2.69
7 Ir 0.3705 0.8705 0.0000  6 Fe 2.46-2.54, 3 Ir 2.64-2.69
8 Ir 0.1295 0.3705 0.0000  6 Fe 2.46-2.54, 3 Ir 2.64-2.69
9 Nb 0.0000 0.0000 0.0000  2 Nb 2.69, 4 Ir 2.82, 8 Fe 3.00
10 Nb 0.5000 0.5000 0.0000  2 Nb 2.69, 4 Ir 2.82, 8 Fe 3.00



[4]
A geometry-optimized Na6IrO8 structure, computed with PBE.

Total moment ... 2.82 μB/cell
VASP energy ... -73.385 eV per cell
Density of states at the Fermi level ... 1.0281 states/eV/atom

a b c (Å): 5.9211 5.9211 5.9211
angles (deg): 97.44 97.44 97.44
Last column: nearest neighbours and their distance in Å.
Fractional coordinates of all 15 atoms:
1 Na 0.7485 0.8926 0.4453  5 O 2.29-2.50
2 Na 0.8926 0.4453 0.7485  5 O 2.29-2.50
3 Na 0.2515 0.1074 0.5547  5 O 2.29-2.50
4 Na 0.5547 0.2515 0.1074  5 O 2.29-2.50
5 Na 0.4453 0.7485 0.8926  5 O 2.29-2.50
6 Na 0.1074 0.5547 0.2515  5 O 2.29-2.50
7 Ir 0.0000 0.0000 0.0000  6 O 1.95
8 O 0.7270 0.0732 0.8198  1 Ir 1.95
9 O 0.8198 0.7270 0.0732  1 Ir 1.95
10 O 0.9268 0.1802 0.2730  1 Ir 1.95
11 O 0.1802 0.2730 0.9268  1 Ir 1.95
12 O 0.5763 0.5763 0.5763  1 O 1.35
13 O 0.4237 0.4237 0.4237  1 O 1.35
14 O 0.2730 0.9268 0.1802  1 Ir 1.95
15 O 0.0732 0.8198 0.7270  1 Ir 1.95